Entry 1:
First-principles (PBE) data for an optimized crystal structure of Pr8NiOs2, as listed in Alexandria.

Fermi-level density of states ... 11.37 states/eV per cell
Formation enthalpy at 0 K ... 3 kJ/mol of formula units

Cell lengths 6.395, 7.726, 7.726 Å; angles 112.65, 101.19, 101.19 degrees
Positions (direct):
Pr (0.596, 0.352, 0.085)
Pr (0.596, 0.085, 0.352)
Pr (0.184, 0.359, 0.359)
Pr (0.989, 0.201, 0.795)
Pr (0.989, 0.795, 0.201)
Pr (0.782, 0.645, 0.645)
Pr (0.363, 0.921, 0.656)
Pr (0.363, 0.656, 0.921)
Ni (0.181, 0.009, 0.009)
Os (0.479, 0.693, 0.316)
Os (0.479, 0.316, 0.693)


Entry 2:
First-principles (PBE) data for an optimized crystal structure of Al6Ga12Mo, as listed in Alexandria.

Fermi-level density of states ... 6.60 states/eV per cell
Energy above the most stable polymorph in this dataset ... 11 meV per atom
Formation enthalpy at 0 K ... 21 kJ/mol of formula units

Cell lengths 7.084, 7.084, 7.084 Å; angles 98.67, 98.67, 98.67 degrees
Positions (direct):
Al (0.118, 0.256, 0.779)
Al (0.744, 0.221, 0.882)
Al (0.221, 0.882, 0.744)
Al (0.882, 0.744, 0.221)
Al (0.256, 0.779, 0.118)
Al (0.779, 0.118, 0.256)
Ga (0.549, 0.198, 0.499)
Ga (0.198, 0.499, 0.549)
Ga (0.499, 0.549, 0.198)
Ga (0.451, 0.802, 0.501)
Ga (0.802, 0.501, 0.451)
Ga (0.501, 0.451, 0.802)
Ga (0.830, 0.920, 0.598)
Ga (0.402, 0.170, 0.080)
Ga (0.080, 0.402, 0.170)
Ga (0.170, 0.080, 0.402)
Ga (0.598, 0.830, 0.920)
Ga (0.920, 0.598, 0.830)
Mo (0.000, 0.000, 0.000)


Entry 3:
First-principles (PBE) data for an optimized crystal structure of Pr2CuGeSe5, as listed in Alexandria.

Fermi-level density of states ... 4.10 states/eV per cell
E_form (uncorrected) ... -964 kJ/mol of formula units

Cell lengths 4.194, 9.303, 11.794 Å; angles 90.00, 90.00, 103.03 degrees
Positions (direct):
Pr (0.878, 0.756, 0.794)
Pr (0.114, 0.227, 0.673)
Pr (0.122, 0.244, 0.294)
Pr (0.886, 0.773, 0.173)
Cu (0.745, 0.490, 0.607)
Cu (0.255, 0.510, 0.107)
Ge (0.592, 0.183, 0.966)
Ge (0.408, 0.817, 0.466)
Se (0.361, 0.721, 0.986)
Se (0.696, 0.392, 0.817)
Se (0.507, 0.014, 0.783)
Se (0.306, 0.613, 0.636)
Se (0.960, 0.921, 0.562)
Se (0.639, 0.279, 0.486)
Se (0.304, 0.608, 0.317)
Se (0.493, 0.986, 0.283)
Se (0.694, 0.387, 0.136)
Se (0.040, 0.079, 0.062)


Entry 4:
First-principles (PBE) data for an optimized crystal structure of Nd2Sm3Ho, as listed in Alexandria.

Fermi-level density of states ... 20.00 states/eV per cell
Energy above the most stable polymorph in this dataset ... 0 meV per atom
Formation enthalpy at 0 K ... 102 kJ/mol of formula units

Cell lengths 6.780, 10.290, 10.290 Å; angles 68.42, 49.09, 49.09 degrees
Positions (direct):
Nd (0.586, 0.599, 0.068)
Nd (0.914, 0.932, 0.401)
Nd (0.086, 0.068, 0.599)
Nd (0.414, 0.401, 0.932)
Sm (0.750, 0.736, 0.264)
Sm (0.250, 0.264, 0.736)
Sm (0.158, 0.670, 0.666)
Sm (0.342, 0.334, 0.330)
Sm (0.842, 0.330, 0.334)
Sm (0.658, 0.666, 0.670)
Ho (0.500, 0.000, 0.000)
Ho (0.000, 0.000, 0.000)


Entry 5:
First-principles (PBE) data for an optimized crystal structure of NdTlHgSb, as listed in Alexandria.

Fermi-level density of states ... 2.26 states/eV per cell
E_form (uncorrected) ... -144 kJ/mol of formula units

Cell lengths 5.471, 5.471, 5.471 Å; angles 60.00, 60.00, 60.00 degrees
Positions (direct):
Sb (0.750, 0.750, 0.750)
Tl (0.000, 0.000, 0.000)
Nd (0.500, 0.500, 0.500)
Hg (0.250, 0.250, 0.250)


Entry 6:
First-principles (PBE) data for an optimized crystal structure of AlGa2Mo2, as listed in Alexandria.

Fermi-level density of states ... 6.70 states/eV per cell
Energy above the most stable polymorph in this dataset ... 0 meV per atom
Formation enthalpy at 0 K ... -12 kJ/mol of formula units

Cell lengths 6.643, 6.643, 3.480 Å; angles 90.00, 90.00, 90.00 degrees
Positions (direct):
Mo (0.172, 0.672, 0.500)
Mo (0.672, 0.828, 0.500)
Mo (0.828, 0.328, 0.500)
Mo (0.328, 0.172, 0.500)
Al (0.000, 0.000, 0.000)
Al (0.500, 0.500, 0.000)
Ga (0.370, 0.870, 0.000)
Ga (0.870, 0.630, 0.000)
Ga (0.630, 0.130, 0.000)
Ga (0.130, 0.370, 0.000)


Entry 7:
First-principles (PBE) data for an optimized crystal structure of PrZnAg2, as listed in Alexandria.

Fermi-level density of states ... 2.50 states/eV per cell
Formation enthalpy at 0 K ... -45 kJ/mol of formula units

Cell lengths 3.408, 3.408, 7.332 Å; angles 90.00, 90.00, 90.00 degrees
Positions (direct):
Pr (0.500, 0.500, 0.500)
Zn (0.500, 0.500, 0.000)
Ag (0.000, 0.000, 0.802)
Ag (0.000, 0.000, 0.198)


Entry 8:
First-principles (PBE) data for an optimized crystal structure of Al2IrBr, as listed in Alexandria.

Fermi-level density of states ... 1.78 states/eV per cell
E_form (uncorrected) ... 159 kJ/mol of formula units
Energy above the most stable polymorph in this dataset ... 926 meV per atom

Cell lengths 2.968, 4.917, 4.712 Å; angles 90.00, 90.00, 90.00 degrees
Positions (direct):
Ir (0.000, 0.500, 0.500)
Al (0.000, 0.000, 0.000)
Al (0.500, 0.500, 0.000)
Br (0.500, 0.000, 0.500)


Entry 9:
First-principles (PBE) data for an optimized crystal structure of NiRh2Au, as listed in Alexandria.

Fermi-level density of states ... 7.72 states/eV per cell
Energy above the most stable polymorph in this dataset ... 162 meV per atom
Formation enthalpy at 0 K ... 100 kJ/mol of formula units

Cell lengths 2.710, 2.710, 9.159 Å; angles 90.00, 90.00, 118.22 degrees
Positions (direct):
Au (0.500, 0.500, 0.250)
Ni (0.500, 0.500, 0.750)
Rh (0.000, 0.000, 0.978)
Rh (0.000, 0.000, 0.522)


Entry 10:
First-principles (PBE) data for an optimized crystal structure of Ca2Mg6Cd3, as listed in Alexandria.

Fermi-level density of states ... 5.97 states/eV per cell
Formation enthalpy at 0 K ... -98 kJ/mol of formula units

Cell lengths 4.863, 8.295, 8.295 Å; angles 120.00, 90.00, 90.00 degrees
Positions (direct):
Ca (0.000, 0.667, 0.333)
Ca (0.000, 0.333, 0.667)
Mg (0.500, 0.757, 0.757)
Mg (0.500, 0.000, 0.243)
Mg (0.000, 0.212, 0.212)
Mg (0.000, 0.788, 0.000)
Mg (0.500, 0.243, 0.000)
Mg (0.000, 0.000, 0.788)
Cd (0.500, 0.414, 0.414)
Cd (0.500, 0.586, 0.000)
Cd (0.500, 0.000, 0.586)


Entry 11:
First-principles (PBE) data for an optimized crystal structure of LiCaTe, as listed in Alexandria.

Fermi-level density of states ... 1.51 states/eV per cell
E_form (uncorrected) ... -171 kJ/mol of formula units
Energy above the most stable polymorph in this dataset ... 362 meV per atom

Cell lengths 5.108, 5.108, 5.108 Å; angles 60.00, 60.00, 60.00 degrees
Positions (direct):
Ca (0.750, 0.750, 0.750)
Li (0.000, 0.000, 0.000)
Te (0.500, 0.500, 0.500)


Entry 12:
First-principles (PBE) data for an optimized crystal structure of LiTi2CdN, as listed in Alexandria.

Fermi-level density of states ... 4.15 states/eV per cell
E_form (uncorrected) ... -304 kJ/mol of formula units

Cell lengths 4.109, 4.109, 4.275 Å; angles 90.00, 90.00, 90.00 degrees
Positions (direct):
N (0.000, 0.000, 0.000)
Ti (0.000, 0.500, 0.000)
Ti (0.500, 0.000, 0.000)
Li (0.000, 0.000, 0.500)
Cd (0.500, 0.500, 0.500)